[1]
Compound: RbP3Pt
Source: the Alexandria database
Functional: PBE
Structure: relaxed

Computed properties:
Spin magnetization (μB/atom): 0.237
Calculated formation energy (eV per atom): 2.630

a b c (Å): 5.186 5.186 5.186
angles (deg): 90.00 90.00 90.00
Site moments in Bohr magnetons follow the coordinates.
Positions (direct):
P (0.000, 0.500, 0.000)  0.17
P (0.000, 0.000, 0.500)  0.14
P (0.500, 0.000, 0.000)  0.13
Rb (0.000, 0.000, 0.000)  0.06
Pt (0.500, 0.500, 0.500)  0.23

=====

[2]
Compound: Rb2PPt
Source: the Alexandria database
Functional: PBE
Structure: relaxed

Computed properties:
Spin magnetization (μB/atom): 0.000
Calculated formation energy (eV per atom): -0.388

a b c (Å): 12.835 12.835 9.343
angles (deg): 46.62 46.62 90.00
Positions (direct):
P (0.500, 0.500, 0.000)
P (0.250, 0.750, 0.500)
Rb (0.821, 0.125, 0.250)
Rb (0.929, 0.625, 0.250)
Rb (0.375, 0.179, 0.750)
Rb (0.875, 0.071, 0.750)
Pt (0.000, 0.000, 0.000)
Pt (0.750, 0.250, 0.500)

=====

[3]
Compound: RbPPt2
Source: the Alexandria database
Functional: PBE
Structure: relaxed

Computed properties:
Spin magnetization (μB/atom): 0.000
Calculated formation energy (eV per atom): -0.290

a b c (Å): 4.256 4.256 6.718
angles (deg): 71.53 71.53 60.00
Positions (direct):
P (0.500, 0.500, 0.500)
Rb (0.000, 0.000, 0.000)
Pt (0.808, 0.808, 0.577)
Pt (0.192, 0.192, 0.423)

=====

[4]
Compound: RbPPt
Source: the Alexandria database
Functional: PBE
Structure: relaxed

Computed properties:
Spin magnetization (μB/atom): 0.000
Calculated formation energy (eV per atom): -0.121

a b c (Å): 5.509 5.300 8.227
angles (deg): 108.79 109.56 90.00
Positions (direct):
Rb (0.653, 0.153, 0.306)
Rb (0.347, 0.847, 0.694)
P (0.691, 0.500, 0.000)
P (0.309, 0.500, 0.000)
Pt (0.101, 0.601, 0.203)
Pt (0.899, 0.399, 0.797)